VASP calculation (PBE-GGA) on a geometry-optimized AcZn2CuNi structure.

The formation energy comes out at -0.23 eV/atom. For the theoretical density, the calculation gives 8.38 g/cm3.

Cell lengths 4.1970, 4.2567, 10.6545 Å; angles 90.00, 90.00, 90.00 degrees
With the nearest neighbours (Å) after each atom.
Space group Imm2 (No. 44)
Inequivalent atoms, fractional coordinates:
Ac  0.0000  0.0000  0.0000 [2 per cell]  4 Ni 3.19, 4 Cu 3.28-3.53, 8 Zn 3.29-3.51
Zn  0.0000  0.0000  0.3719 [2 per cell]  1 Ni 2.49, 2 Cu 2.55, 2 Zn 2.58
Zn  0.0000  0.5000  0.2358 [2 per cell]  2 Ni 2.52, 2 Zn 2.58
Cu  0.0000  0.5000  0.7360 [2 per cell]  2 Ni 2.54, 2 Zn 2.55
Ni  0.0000  0.0000  0.6052 [2 per cell]  3 Zn 2.49-2.52, 2 Cu 2.54